A plane-wave DFT calculation with PBE was carried out for an optimized crystal structure of MnSiS2Cl.

The structure belongs to space group P4/mmm (No. 123); the cell edges are 4.618, 4.618 and 4.557 Å and the angles 90.00°, 90.00° and 90.00°. The distinct sites, in fractional coordinates, are Mn at (0.000, 0.000, 0.000), Si at (0.500, 0.500, 0.500), S at (0.000, 0.500, 0.500) and Cl at (0.500, 0.500, 0.000).

The value obtained for the uncorrected formation energy is 43 kJ/mol of formula units. The calculation puts the mass density at 3.1 g/cm³. The calculation puts the magnetic moment at 5.04 Bohr magnetons per cell.